# SCAN Cr8Co3NiS16, single point on PBEsol structure
data_Cr8Co3NiS16
_space_group_name_H-M_alt 'R 3 m'
_space_group_IT_number 160
_space_group_name_Hall 'R 3 -2"'
_cell_length_a 6.7496
_cell_length_b 6.7496
_cell_length_c 33.0718
_cell_angle_alpha 90.00
_cell_angle_beta 90.00
_cell_angle_gamma 120.00
loop_
_atom_site_label
_atom_site_fract_x
_atom_site_fract_y
_atom_site_fract_z
Cr1 0.0000 0.0000 0.0000
Cr2 0.0000 0.0000 0.4998
Cr3 0.9996 0.4998 0.2500
Cr4 0.0012 0.5006 0.7496
Co1 0.0000 0.0000 0.1874
Co2 0.0000 0.0000 0.3125
Co3 0.0000 0.0000 0.8122
Ni1 0.0000 0.0000 0.6873
S1 0.0000 0.0000 0.1227
S2 0.0000 0.0000 0.3772
S3 0.0000 0.0000 0.6223
S4 0.0000 0.0000 0.8769
S5 0.0115 0.5057 0.6241
S6 0.0120 0.5060 0.1241
S7 0.1729 0.3458 0.2090
S8 0.1732 0.3464 0.7089
# Raw total energy in eV per atom: -14.12
# Uncorrected formation energy in eV/f.u.: -26.0